# Th2AgSe PBE relaxed
data_Th2AgSe
_chemical_formula_sum 'Th2 Ag1 Se1'
_symmetry_space_group_name_H-M 'P 4/m m m'
_symmetry_Int_Tables_number 123
_symmetry_space_group_name_Hall '-P 4 2'
_cell_length_a 3.527
_cell_length_b 3.527
_cell_length_c 8.109
_cell_angle_alpha 90.00
_cell_angle_beta 90.00
_cell_angle_gamma 90.00
loop_
_atom_site_label
_atom_site_fract_x
_atom_site_fract_y
_atom_site_fract_z
Th1 0.000 0.000 0.241
Ag1 0.500 0.500 0.500
Se1 0.500 0.500 0.000
# Calculated volume, A^3/atom: 25.22
# Uncorrected formation energy, eV per atom: -0.654
# Total magnetic moment, μB/f.u.: 0.0
# Excess energy over the best structure of this formula in the dataset, eV/atom: 0.013